1.
# LiLuTlPb, optimized geometry, DFT PBE-GGA
# **Crystal system**: cubic
# **Energy of formation**: -1.090 eV per formula unit
data_LiLuTlPb
_cell_length_a 7.3630
_cell_length_b 7.3630
_cell_length_c 7.3630
_cell_angle_alpha 90.00
_cell_angle_beta 90.00
_cell_angle_gamma 90.00
_space_group_name_H-M_alt 'F -4 3 m'
_space_group_IT_number 216
_space_group_name_Hall 'F -4 2 3'
loop_
_atom_site_label
_atom_site_type_symbol
_atom_site_fract_x
_atom_site_fract_y
_atom_site_fract_z
Li1 Li 0.0000 0.0000 0.0000
Lu1 Lu 0.0000 0.0000 0.5000
Tl1 Tl 0.2500 0.2500 0.2500
Pb1 Pb 0.2500 0.2500 0.7500

2.
# LiYLuPb, optimized geometry, DFT PBE-GGA
# **Crystal system**: cubic
# **Energy of formation**: -0.952 eV per formula unit
data_LiYLuPb
_cell_length_a 7.4170
_cell_length_b 7.4170
_cell_length_c 7.4170
_cell_angle_alpha 90.00
_cell_angle_beta 90.00
_cell_angle_gamma 90.00
_space_group_name_H-M_alt 'F -4 3 m'
_space_group_IT_number 216
_space_group_name_Hall 'F -4 2 3'
loop_
_atom_site_label
_atom_site_type_symbol
_atom_site_fract_x
_atom_site_fract_y
_atom_site_fract_z
Li1 Li 0.0000 0.0000 0.0000
Y1 Y 0.2500 0.2500 0.2500
Lu1 Lu 0.2500 0.2500 0.7500
Pb1 Pb 0.0000 0.0000 0.5000

3.
# LiLuZnPb, optimized geometry, DFT PBE-GGA
# **Crystal system**: cubic
# **Energy of formation**: -1.183 eV per formula unit
data_LiLuZnPb
_cell_length_a 7.0647
_cell_length_b 7.0647
_cell_length_c 7.0647
_cell_angle_alpha 90.00
_cell_angle_beta 90.00
_cell_angle_gamma 90.00
_space_group_name_H-M_alt 'F -4 3 m'
_space_group_IT_number 216
_space_group_name_Hall 'F -4 2 3'
loop_
_atom_site_label
_atom_site_type_symbol
_atom_site_fract_x
_atom_site_fract_y
_atom_site_fract_z
Li1 Li 0.0000 0.0000 0.0000
Lu1 Lu 0.0000 0.0000 0.5000
Zn1 Zn 0.2500 0.2500 0.7500
Pb1 Pb 0.2500 0.2500 0.2500

4.
# LiLuPd, optimized geometry, DFT PBE-GGA
# **Crystal system**: tetragonal
# **Offset from the most stable computed form**: 0.000 eV per atom
# **Energy of formation**: -1.566 eV per formula unit
data_LiLuPd
_cell_length_a 3.5006
_cell_length_b 3.5006
_cell_length_c 9.2202
_cell_angle_alpha 90.00
_cell_angle_beta 90.00
_cell_angle_gamma 90.00
_space_group_name_H-M_alt 'I 4 m m'
_space_group_IT_number 107
_space_group_name_Hall 'I 4 -2'
loop_
_atom_site_label
_atom_site_type_symbol
_atom_site_fract_x
_atom_site_fract_y
_atom_site_fract_z
Li1 Li 0.0000 0.0000 0.0000
Lu1 Lu 0.0000 0.0000 0.3023
Pd1 Pd 0.0000 0.0000 0.6433